(1)
The following is a PBE calculation of an optimized crystal structure of AgHgPbAu, from the Open Quantum Materials Database.

Cell lengths 7.126, 7.126, 7.126 Å; angles 90.00, 90.00, 90.00 degrees
Space group F-43m (No. 216)
One atom of each set of equivalent atoms:
Ag  0.000  0.000  0.000
Hg  0.250  0.250  0.250
Pb  0.250  0.250  0.750
Au  0.000  0.000  0.500

Calculated values
E above lowest polymorph ... 0.00 kcal/mol of atoms



(2)
The following is a PBE calculation of an optimized crystal structure of Cu2Ag3, from the Open Quantum Materials Database.

Cell lengths 4.816, 4.874, 7.404 Å; angles 71.50, 71.45, 80.33 degrees
Space group P1 (No. 1)
One atom of each set of equivalent atoms:
Cu  0.000  0.000  0.000
Cu  0.005  0.812  0.389
Cu  0.495  0.717  0.094
Cu  0.989  0.609  0.802
Ag  0.486  0.518  0.493
Ag  0.497  0.302  0.902
Ag  0.497  0.894  0.707
Ag  0.509  0.102  0.291
Ag  0.996  0.428  0.187
Ag  0.997  0.203  0.601

Calculated values
Energy of formation ... 0.0969 eV/atom
E above lowest polymorph ... 1.49 kcal/mol of atoms



(3)
The following is a PBE calculation of an optimized crystal structure of Li2InIr, from the Open Quantum Materials Database.

Cell lengths 6.287, 6.287, 6.287 Å; angles 90.00, 90.00, 90.00 degrees
Space group F-43m (No. 216)
One atom of each set of equivalent atoms:
Li  0.000  0.000  0.000
Li  0.250  0.250  0.250
In  0.000  0.000  0.500
Ir  0.250  0.250  0.750

Calculated values
Total moment ... 0.0 Bohr magnetons per cell



| no. | DFT total energy (Ha/atom) |
| --- | --- |
| 1 | -0.0901 |
| 2 | -0.1134 |
| 3 | -0.1519 |